# Pa5Sb3N PBE optimized geometry
# E_tot: -8.28 eV per atom
# Formation energy without anion corrections: -708 meV per atom
data_Pa5Sb3N
_cell_length_a 9.0316
_cell_length_b 9.0316
_cell_length_c 5.9851
_cell_angle_alpha 90.00
_cell_angle_beta 90.00
_cell_angle_gamma 120.00
_space_group_name_H-M_alt 'P 63/m c m'
_space_group_IT_number 193
_space_group_name_Hall '-P 6c 2'
loop_
_atom_site_label
_atom_site_type_symbol
_atom_site_fract_x
_atom_site_fract_y
_atom_site_fract_z
Pa1 Pa 0.0000 0.2215 0.2500
Pa2 Pa 0.3333 0.6667 0.0000
Sb1 Sb 0.0000 0.3960 0.7500
N1 N 0.0000 0.0000 0.0000